1.
Below is a geometry-optimized S6ClO2 structure, with properties calculated at the PBE level.

Cell: 8.2300 8.2300 7.8963 Å, 102.81 102.81 104.01°
With the nearest neighbours (Å) after each atom.
Atoms (fractional coordinates):
S1 0.1133 0.8354 0.8650  2 S 2.06-2.09
S2 0.1632 0.6532 0.4612  2 S 2.09-2.20
S3 0.1646 0.8867 0.6350  2 S 2.06-2.09
S4 0.1953 0.5016 0.6560  1 O 1.48
S5 0.3468 0.8368 0.0388  2 S 2.09-2.20
S6 0.4984 0.8047 0.8440  1 O 1.48
S7 0.5016 0.1953 0.1560  1 O 1.48
S8 0.6532 0.1632 0.9612  2 S 2.09-2.20
S9 0.8047 0.4984 0.3440  1 O 1.48
S10 0.8354 0.1133 0.3650  2 S 2.06-2.09
S11 0.8368 0.3468 0.5388  2 S 2.09-2.20
S12 0.8867 0.1646 0.1350  2 S 2.06-2.09
Cl1 0.1217 0.8783 0.2500  4 S 2.78-2.96
Cl2 0.8783 0.1217 0.7500  4 S 2.78-2.96
O1 0.2479 0.3542 0.5648  1 S 1.48
O2 0.3542 0.2479 0.0648  1 S 1.48
O3 0.6458 0.7521 0.9352  1 S 1.48
O4 0.7521 0.6458 0.4352  1 S 1.48

Electronic total energy = -75.78 eV for the cell shown
E_form (uncorrected) = -1.36 eV/f.u.

=====

2.
Below is a geometry-optimized SClO3 structure, with properties calculated at the PBE level.

Cell: 8.3234 6.0494 11.1561 Å, 90.00 127.25 90.00°
With the nearest neighbours (Å) after each atom.
Atoms (fractional coordinates):
S1 0.2386 0.1794 0.4412  3 O 1.44-1.48
S2 0.2386 0.3206 0.9412  3 O 1.44-1.48
S3 0.7614 0.6794 0.0588  3 O 1.44-1.48
S4 0.7614 0.8206 0.5588  3 O 1.44-1.48
Cl1 0.2982 0.6254 0.0431  1 S 2.06
Cl2 0.2982 0.8746 0.5431  1 S 2.06
Cl3 0.7018 0.1254 0.4569  1 S 2.06
Cl4 0.7018 0.3746 0.9569  1 S 2.06
O1 0.0202 0.2040 0.3539  1 S 1.46
O2 0.0202 0.2960 0.8539  1 S 1.46
O3 0.2907 0.1543 0.3367  1 S 1.48
O4 0.2907 0.3457 0.8367  1 S 1.48
O5 0.3613 0.1644 0.0617  1 S 1.44
O6 0.3613 0.3356 0.5617  1 S 1.44
O7 0.6387 0.6644 0.4383  1 S 1.44
O8 0.6387 0.8356 0.9383  1 S 1.44
O9 0.7093 0.6543 0.1633  1 S 1.48
O10 0.7093 0.8457 0.6633  1 S 1.48
O11 0.9798 0.7040 0.1461  1 S 1.46
O12 0.9798 0.7960 0.6461  1 S 1.46

Electronic total energy = -96.66 eV for the cell shown
E_form (uncorrected) = -3.32 eV/f.u.

=====

3.
Below is a geometry-optimized SClO2 structure, with properties calculated at the PBE level.

Cell: 5.6951 5.6951 5.6951 Å, 90.00 90.00 90.00°
With the nearest neighbours (Å) after each atom.
Atoms (fractional coordinates):
S1 0.0000 0.0000 0.0000  8 O 2.47
S2 0.0000 0.5000 0.5000  8 O 2.47
S3 0.5000 0.0000 0.5000  8 O 2.47
S4 0.5000 0.5000 0.0000  8 O 2.47
Cl1 0.0000 0.0000 0.5000  8 O 2.47
Cl2 0.0000 0.5000 0.0000  8 O 2.47
Cl3 0.5000 0.0000 0.0000  8 O 2.47
Cl4 0.5000 0.5000 0.5000  8 O 2.47
O1 0.2500 0.2500 0.2500  4 S 2.47, 4 Cl 2.47
O2 0.2500 0.2500 0.7500  4 S 2.47, 4 Cl 2.47
O3 0.2500 0.7500 0.2500  4 S 2.47, 4 Cl 2.47
O4 0.2500 0.7500 0.7500  4 S 2.47, 4 Cl 2.47
O5 0.7500 0.2500 0.2500  4 S 2.47, 4 Cl 2.47
O6 0.7500 0.2500 0.7500  4 S 2.47, 4 Cl 2.47
O7 0.7500 0.7500 0.2500  4 S 2.47, 4 Cl 2.47
O8 0.7500 0.7500 0.7500  4 S 2.47, 4 Cl 2.47

ΔE to the lowest computed polymorph = 8.66 eV per formula unit
Electronic total energy = -39.62 eV for the cell shown
E_form (uncorrected) = 5.99 eV/f.u.

=====

4.
Below is a geometry-optimized S2ClO structure, with properties calculated at the PBE level.

Cell: 3.0613 3.0613 23.0655 Å, 90.00 90.00 120.00°
With the nearest neighbours (Å) after each atom.
Atoms (fractional coordinates):
S1 0.0000 0.0000 0.0997  1 Cl 2.30, 3 O 2.35
S2 0.0000 0.0000 0.9003  1 Cl 2.30, 3 O 2.35
S3 0.3333 0.6667 0.5669  1 Cl 2.30, 3 O 2.35
S4 0.3333 0.6667 0.7664  1 Cl 2.30, 3 O 2.35
S5 0.6667 0.3333 0.2336  1 Cl 2.30, 3 O 2.35
S6 0.6667 0.3333 0.4331  1 Cl 2.30, 3 O 2.35
Cl1 0.0000 0.0000 0.0000  2 S 2.30
Cl2 0.3333 0.6667 0.6667  2 S 2.30
Cl3 0.6667 0.3333 0.3333  2 S 2.30
O1 0.0000 0.0000 0.5000  6 S 2.35
O2 0.3333 0.6667 0.1667  6 S 2.35
O3 0.6667 0.3333 0.8333  6 S 2.35

ΔE to the lowest computed polymorph = 2.07 eV per formula unit
Electronic total energy = -34.39 eV for the cell shown
E_form (uncorrected) = 3.60 eV/f.u.

=====

5.
Below is a geometry-optimized SClO2 structure, with properties calculated at the PBE level.

Cell: 4.6169 6.5250 7.1506 Å, 107.51 91.84 91.60°
With the nearest neighbours (Å) after each atom.
Atoms (fractional coordinates):
S1 0.0000 0.0000 0.0000  1 O 1.45
S2 0.2122 0.3071 0.8902  1 O 1.44
Cl1 0.6091 0.7315 0.3101  1 Cl 2.00
Cl2 0.6752 0.5749 0.5073  1 Cl 2.00
O1 0.0161 0.4543 0.8421  1 S 1.44
O2 0.0717 0.0507 0.7855  2 S 1.70-1.71
O3 0.1086 0.2637 0.1025  2 S 1.71
O4 0.6887 0.9830 0.0136  1 S 1.45

ΔE to the lowest computed polymorph = 0.00 eV per formula unit
Electronic total energy = -37.12 eV for the cell shown
E_form (uncorrected) = -2.67 eV/f.u.

=====

6.
Below is a geometry-optimized S3ClO structure, with properties calculated at the PBE level.

Cell: 4.5868 4.5868 4.5868 Å, 90.00 90.00 90.00°
With the nearest neighbours (Å) after each atom.
Atoms (fractional coordinates):
S1 0.0000 0.0000 0.5000  2 Cl 2.29
S2 0.0000 0.5000 0.0000  2 Cl 2.29
S3 0.5000 0.0000 0.0000  2 Cl 2.29
Cl1 0.0000 0.0000 0.0000  6 S 2.29
O1 0.5000 0.5000 0.5000  12 S 3.24

ΔE to the lowest computed polymorph = 3.49 eV per formula unit
Electronic total energy = -9.67 eV for the cell shown
E_form (uncorrected) = 9.52 eV/f.u.

=====

7.
Below is a geometry-optimized SClO3 structure, with properties calculated at the PBE level.

Cell: 5.6490 4.5916 7.4346 Å, 90.00 90.52 90.00°
With the nearest neighbours (Å) after each atom.
Atoms (fractional coordinates):
S1 0.0949 0.2500 0.0222  1 O 1.42
S2 0.9051 0.7500 0.9778  1 O 1.42
Cl1 0.4845 0.7500 0.4670  2 Cl 2.35
Cl2 0.5155 0.2500 0.5330  2 Cl 2.35
O1 0.0563 0.0001 0.8590  2 S 1.68-1.69
O2 0.0563 0.4999 0.8590  2 S 1.68-1.69
O3 0.3352 0.2500 0.0801  1 S 1.42
O4 0.6648 0.7500 0.9199  1 S 1.42
O5 0.9437 0.9999 0.1410  2 S 1.68-1.69
O6 0.9437 0.5001 0.1410  2 S 1.68-1.69

Electronic total energy = -46.87 eV for the cell shown
E_form (uncorrected) = -2.59 eV/f.u.

=====

8.
Below is a geometry-optimized S2ClO structure, with properties calculated at the PBE level.

Cell: 6.1148 6.1148 6.1148 Å, 90.00 90.00 90.00°
With the nearest neighbours (Å) after each atom.
Atoms (fractional coordinates):
S1 0.2500 0.2500 0.2500  4 Cl 2.65, 4 O 2.65
S2 0.2500 0.2500 0.7500  4 O 2.65, 4 Cl 2.65
S3 0.2500 0.7500 0.2500  4 O 2.65, 4 Cl 2.65
S4 0.2500 0.7500 0.7500  4 Cl 2.65, 4 O 2.65
S5 0.7500 0.2500 0.2500  4 O 2.65, 4 Cl 2.65
S6 0.7500 0.2500 0.7500  4 Cl 2.65, 4 O 2.65
S7 0.7500 0.7500 0.2500  4 Cl 2.65, 4 O 2.65
S8 0.7500 0.7500 0.7500  4 O 2.65, 4 Cl 2.65
Cl1 0.0000 0.0000 0.0000  8 S 2.65
Cl2 0.0000 0.5000 0.5000  8 S 2.65
Cl3 0.5000 0.0000 0.5000  8 S 2.65
Cl4 0.5000 0.5000 0.0000  8 S 2.65
O1 0.0000 0.0000 0.5000  8 S 2.65
O2 0.0000 0.5000 0.0000  8 S 2.65
O3 0.5000 0.0000 0.0000  8 S 2.65
O4 0.5000 0.5000 0.5000  8 S 2.65

ΔE to the lowest computed polymorph = 4.23 eV per formula unit
Electronic total energy = -37.20 eV for the cell shown
E_form (uncorrected) = 5.76 eV/f.u.

=====

9.
Below is a geometry-optimized S3ClO structure, with properties calculated at the PBE level.

Cell: 4.3276 4.3276 4.3276 Å, 90.00 90.00 90.00°
With the nearest neighbours (Å) after each atom.
Atoms (fractional coordinates):
S1 0.0000 0.0000 0.5000  2 O 2.16
S2 0.0000 0.5000 0.0000  2 O 2.16
S3 0.5000 0.0000 0.0000  2 O 2.16
Cl1 0.5000 0.5000 0.5000  12 S 3.06
O1 0.0000 0.0000 0.0000  6 S 2.16

ΔE to the lowest computed polymorph = 0.00 eV per formula unit
Electronic total energy = -13.16 eV for the cell shown
E_form (uncorrected) = 6.03 eV/f.u.

=====

10.
Below is a geometry-optimized S2ClO structure, with properties calculated at the PBE level.

Cell: 4.6150 4.6150 13.3895 Å, 90.00 90.00 90.00°
With the nearest neighbours (Å) after each atom.
Atoms (fractional coordinates):
S1 0.0745 0.7500 0.1250  2 O 2.06
S2 0.2500 0.0745 0.8750  2 O 2.06
S3 0.2500 0.4255 0.3750  2 O 2.06
S4 0.4255 0.7500 0.6250  2 O 2.06
S5 0.5745 0.2500 0.6250  2 O 2.06
S6 0.7500 0.5745 0.3750  2 O 2.06
S7 0.7500 0.9255 0.8750  2 O 2.06
S8 0.9255 0.2500 0.1250  2 O 2.06
Cl1 0.0000 0.0000 0.5000  4 S 2.83
Cl2 0.0000 0.5000 0.7500  4 S 2.83
Cl3 0.5000 0.0000 0.2500  4 S 2.83
Cl4 0.5000 0.5000 0.0000  4 S 2.83
O1 0.0000 0.0000 0.0000  4 S 2.06
O2 0.0000 0.5000 0.2500  4 S 2.06
O3 0.5000 0.0000 0.7500  4 S 2.06
O4 0.5000 0.5000 0.5000  4 S 2.06

ΔE to the lowest computed polymorph = 0.64 eV per formula unit
Electronic total energy = -51.57 eV for the cell shown
E_form (uncorrected) = 2.17 eV/f.u.

=====

11.
Below is a geometry-optimized S2ClO structure, with properties calculated at the PBE level.

Cell: 3.5840 3.5840 22.2889 Å, 90.00 90.00 120.00°
With the nearest neighbours (Å) after each atom.
Atoms (fractional coordinates):
S1 0.0000 0.0000 0.0716  1 O 1.60
S2 0.0000 0.0000 0.9284  1 O 1.60
S3 0.3333 0.6667 0.5951  1 O 1.60
S4 0.3333 0.6667 0.7382  1 O 1.60
S5 0.6667 0.3333 0.2618  1 O 1.60
S6 0.6667 0.3333 0.4049  1 O 1.60
Cl1 0.0000 0.0000 0.5000  6 S 2.96
Cl2 0.3333 0.6667 0.1667  6 S 2.96
Cl3 0.6667 0.3333 0.8333  6 S 2.96
O1 0.0000 0.0000 0.0000  2 S 1.60
O2 0.3333 0.6667 0.6667  2 S 1.60
O3 0.6667 0.3333 0.3333  2 S 1.60

ΔE to the lowest computed polymorph = 0.00 eV per formula unit
Electronic total energy = -40.59 eV for the cell shown
E_form (uncorrected) = 1.53 eV/f.u.

=====

12.
Below is a geometry-optimized SClO2 structure, with properties calculated at the PBE level.

Cell: 2.9095 2.9095 24.7535 Å, 90.00 90.00 120.00°
With the nearest neighbours (Å) after each atom.
Atoms (fractional coordinates):
S1 0.0000 0.0000 0.0000  2 O 1.48
S2 0.3333 0.6667 0.6667  2 O 1.48
S3 0.6667 0.3333 0.3333  2 O 1.48
Cl1 0.0000 0.0000 0.5000  6 Cl 2.91, 6 O 3.14
Cl2 0.3333 0.6667 0.1667  6 Cl 2.91, 6 O 3.14
Cl3 0.6667 0.3333 0.8333  6 Cl 2.91, 6 O 3.14
O1 0.0000 0.0000 0.0596  1 S 1.48
O2 0.0000 0.0000 0.9404  1 S 1.48
O3 0.3333 0.6667 0.6070  1 S 1.48
O4 0.3333 0.6667 0.7263  1 S 1.48
O5 0.6667 0.3333 0.2737  1 S 1.48
O6 0.6667 0.3333 0.3930  1 S 1.48

ΔE to the lowest computed polymorph = 3.47 eV per formula unit
Electronic total energy = -45.28 eV for the cell shown
E_form (uncorrected) = 0.80 eV/f.u.